[1]
! Ac2LuBi | Alexandria | PBE | optimized geometry; values from VASP
! E_tot = -4.458 eV/atom
! Total moment = 0.0054 μB/atom
! Energy relative to the elements = -1.215 eV per formula unit
! DOS at the Fermi energy = 4.755 states/eV per cell
&SYSTEM
  ibrav = 0, nat = 4, ntyp = 3
/
ATOMIC_SPECIES
Ac 227.00 Ac.upf
Lu 174.97 Lu.upf
Bi 208.98 Bi.upf
CELL_PARAMETERS angstrom
5.326 0.000 0.000
0.000 5.326 0.000
0.000 0.000 4.994
ATOMIC_POSITIONS crystal
Ac 0.000 0.500 0.000
Ac 0.500 0.000 0.000
Lu 0.000 0.000 0.500
Bi 0.500 0.500 0.500


[2]
! TbCuRh | Alexandria | PBE | optimized geometry; values from VASP
! E_tot = -5.835 eV/atom
! Total moment = 0.0000 μB/atom
! Energy relative to the elements = -1.427 eV per formula unit
! DOS at the Fermi energy = 1.829 states/eV per cell
&SYSTEM
  ibrav = 0, nat = 3, ntyp = 3
/
ATOMIC_SPECIES
Tb 158.93 Tb.upf
Cu 63.55 Cu.upf
Rh 102.91 Rh.upf
CELL_PARAMETERS angstrom
4.305 0.000 0.000
-2.153 3.729 0.000
0.000 0.000 3.541
ATOMIC_POSITIONS crystal
Tb 0.000 0.000 0.000
Cu 0.333 0.667 0.500
Rh 0.667 0.333 0.500